(1)
DFT (PBE with a Hubbard U) results for CoCI2O after structural relaxation.

abc: 5.5845 5.5845 3.1751
angles: 90.00 90.00 90.00
With the nearest neighbours (Å) after each atom.
Fractional coordinates of all 5 atoms:
C  0.0000  0.0000  0.0000  2 O 1.59
Co  0.5000  0.5000  0.5000  2 Co 3.18, 8 I 3.21
I  0.0000  0.5000  0.0000  2 C 2.79
O  0.0000  0.0000  0.5000  2 C 1.59
I  0.5000  0.0000  0.0000  2 C 2.79

SG: P4/mmm
Total magnetization: 2.428 μB per formula unit
Polymorph energy (0 for the lowest one): 12 meV per atom

(2)
DFT (PBE with a Hubbard U) results for CoCIO2 after structural relaxation.

abc: 3.5620 3.5620 7.5335
angles: 90.00 90.00 90.00
With the nearest neighbours (Å) after each atom.
Fractional coordinates of all 5 atoms:
Co  0.0000  0.0000  0.0000  4 O 1.78
C  0.5000  0.5000  0.5000  4 I 2.52
O  0.0000  0.5000  0.0000  2 Co 1.78
O  0.5000  0.0000  0.0000  2 Co 1.78
I  0.0000  0.0000  0.5000  4 C 2.52

SG: P4/mmm
Total magnetization: 4.626 μB per formula unit
Polymorph energy (0 for the lowest one): 0 meV per atom

(3)
DFT (PBE with a Hubbard U) results for CoCIO2 after structural relaxation.

abc: 3.4904 3.4904 6.3196
angles: 90.00 90.00 90.00
With the nearest neighbours (Å) after each atom.
Fractional coordinates of all 5 atoms:
I  0.0000  0.0000  0.5000  4 Co 2.47
O  0.5000  0.0000  0.0000  2 C 1.75
Co  0.5000  0.5000  0.5000  4 I 2.47
C  0.0000  0.0000  0.0000  4 O 1.75
O  0.0000  0.5000  0.0000  2 C 1.75

SG: P4/mmm
Total magnetization: 2.323 μB per formula unit
Polymorph energy (0 for the lowest one): 389 meV per atom

(4)
DFT (PBE with a Hubbard U) results for CoCI2O after structural relaxation.

abc: 5.6006 5.6006 3.5269
angles: 90.00 90.00 90.00
With the nearest neighbours (Å) after each atom.
Fractional coordinates of all 5 atoms:
Co  0.0000  0.0000  0.0000  2 O 1.76
C  0.5000  0.5000  0.5000  8 I 3.31, 2 C 3.53
I  0.5000  0.0000  0.0000  2 Co 2.80
O  0.0000  0.0000  0.5000  2 Co 1.76
I  0.0000  0.5000  0.0000  2 Co 2.80

SG: P4/mmm
Total magnetization: 4.449 μB per formula unit
Polymorph energy (0 for the lowest one): 0 meV per atom